VASP calculation (PBE) on crystalline BiHPt3 at its relaxed geometry.

```
BiHPt3
1.0
-3.163 1.048 4.224
-4.214 -3.068 -2.393
3.790 -2.550 3.469
Bi H Pt
2 2 6
direct
0.750 0.667 0.333
0.250 0.333 0.667
0.000 0.000 0.000
0.500 0.000 0.000
0.750 0.667 0.834
0.250 0.833 0.667
0.250 0.333 0.166
0.750 0.167 0.333
0.250 0.833 0.166
0.750 0.167 0.834
```

Output
Electronic total energy, eV per atom: -5.03
Energy above the lowest structure with this stoichiometry, eV/f.u.: 0.34
Total magnetization, Bohr magnetons per cell: 0.0
Density of states at the Fermi level, states/eV/atom: 0.282
Crystal system: hexagonal